P.
The following is a PBE calculation of PrY6Er4 after structural relaxation, from Alexandria via LeMat-Bulk.

POSCAR file:
```
PrY6Er4
1.0
9.090 0.000 0.000
-4.545 7.873 0.000
0.000 0.000 5.285
Pr Y Er
1 6 4
Direct
0.000 0.000 0.000
0.207 0.413 0.500
0.207 0.793 0.500
0.535 0.070 0.000
0.535 0.465 0.000
0.587 0.793 0.500
0.930 0.465 0.000
0.333 0.667 0.000
0.410 0.205 0.500
0.795 0.205 0.500
0.795 0.590 0.500
```


Q.
The following is a PBE calculation of PrY6Er4 after structural relaxation, from Alexandria via LeMat-Bulk.

POSCAR file:
```
PrY6Er4
1.0
2.839 -4.863 0.000
2.839 4.863 0.000
0.000 0.000 25.771
Pr Y Er
2 12 8
Direct
0.176 0.824 0.750
0.824 0.176 0.250
0.156 0.844 0.180
0.156 0.844 0.320
0.177 0.823 0.601
0.177 0.823 0.899
0.490 0.510 0.250
0.500 0.500 0.000
0.500 0.500 0.500
0.510 0.490 0.750
0.823 0.177 0.101
0.823 0.177 0.399
0.844 0.156 0.680
0.844 0.156 0.820
0.163 0.837 0.041
0.163 0.837 0.459
0.488 0.512 0.121
0.488 0.512 0.379
0.512 0.488 0.621
0.512 0.488 0.879
0.837 0.163 0.541
0.837 0.163 0.959
```


Which of them is the most stable? Correct choice: Q.


P.
The following is a PBE calculation of Pr2Y5Er12 after structural relaxation, from Alexandria via LeMat-Bulk.

POSCAR file:
```
Pr2Y5Er12
1.0
6.141 0.000 0.000
-0.014 9.392 0.000
-1.026 -2.027 10.389
Pr Y Er
2 5 12
Direct
0.081 0.316 0.473
0.919 0.684 0.527
0.238 0.947 0.419
0.341 0.369 0.052
0.500 0.000 0.000
0.659 0.631 0.948
0.762 0.053 0.581
0.025 0.104 0.156
0.132 0.526 0.791
0.183 0.737 0.104
0.290 0.158 0.739
0.396 0.580 0.367
0.446 0.790 0.686
0.554 0.210 0.314
0.604 0.420 0.633
0.710 0.842 0.261
0.817 0.263 0.896
0.868 0.474 0.209
0.975 0.896 0.844
```


Q.
The following is a PBE calculation of Pr2Y5Er12 after structural relaxation, from Alexandria via LeMat-Bulk.

POSCAR file:
```
Pr2Y5Er12
1.0
7.922 -4.581 0.000
7.922 4.581 0.000
-0.187 0.000 8.490
Pr Y Er
2 5 12
Direct
0.188 0.812 0.000
0.812 0.188 0.000
0.198 0.198 0.006
0.266 0.266 0.422
0.500 0.500 0.500
0.734 0.734 0.578
0.802 0.802 0.994
0.055 0.055 0.329
0.066 0.682 0.349
0.162 0.524 0.753
0.318 0.934 0.651
0.405 0.405 0.116
0.476 0.838 0.247
0.524 0.162 0.753
0.595 0.595 0.884
0.682 0.066 0.349
0.838 0.476 0.247
0.934 0.318 0.651
0.945 0.945 0.671
```


Which of them is the most stable? Correct choice: P.


P.
The following is a PBE calculation of Pr4YEr7 after structural relaxation, from Alexandria via LeMat-Bulk.

POSCAR file:
```
Pr4YEr7
1.0
6.585 0.000 0.000
1.035 6.785 0.000
1.992 0.597 8.824
Pr Y Er
4 1 7
Direct
0.139 0.307 0.287
0.333 0.887 0.693
0.667 0.113 0.307
0.861 0.693 0.713
0.500 0.500 0.000
0.012 0.253 0.952
0.181 0.797 0.355
0.315 0.395 0.620
0.500 0.000 0.000
0.685 0.605 0.380
0.819 0.203 0.645
0.988 0.747 0.048
```


Q.
The following is a PBE calculation of Pr4YEr7 after structural relaxation, from Alexandria via LeMat-Bulk.

POSCAR file:
```
Pr4YEr7
1.0
6.073 -2.957 0.000
6.073 2.957 0.000
-6.070 0.000 11.321
Pr Y Er
4 1 7
Direct
0.139 0.139 0.278
0.280 0.280 0.836
0.720 0.720 0.164
0.861 0.861 0.722
0.500 0.500 0.500
0.000 0.000 0.500
0.132 0.132 0.994
0.287 0.287 0.577
0.431 0.431 0.189
0.569 0.569 0.811
0.713 0.713 0.423
0.868 0.868 0.006
```


Which of them is the most stable? Correct choice: P.


P.
The following is a PBE calculation of Pr5Y5Er2 after structural relaxation, from Alexandria via LeMat-Bulk.

POSCAR file:
```
Pr5Y5Er2
1.0
7.692 -2.560 0.000
7.692 2.560 0.000
-5.125 0.000 10.224
Pr Y Er
5 5 2
Direct
0.000 0.000 0.000
0.082 0.082 0.747
0.250 0.250 0.253
0.750 0.750 0.747
0.918 0.918 0.253
0.333 0.333 0.000
0.415 0.415 0.746
0.500 0.500 0.500
0.585 0.585 0.254
0.667 0.667 0.000
0.167 0.167 0.499
0.833 0.833 0.501
```


Q.
The following is a PBE calculation of Pr5Y5Er2 after structural relaxation, from Alexandria via LeMat-Bulk.

POSCAR file:
```
Pr5Y5Er2
1.0
8.676 -2.848 0.000
8.676 2.848 0.000
-5.679 0.000 8.143
Pr Y Er
5 5 2
Direct
0.000 0.000 0.000
0.125 0.125 0.459
0.125 0.125 0.787
0.875 0.875 0.213
0.875 0.875 0.541
0.249 0.249 0.250
0.374 0.374 0.041
0.500 0.500 0.500
0.626 0.626 0.959
0.751 0.751 0.750
0.373 0.373 0.705
0.627 0.627 0.295
```


Which of them is the most stable? Correct choice: P.


P.
The following is a PBE calculation of Pr2Y2Er after structural relaxation, from Alexandria via LeMat-Bulk.

POSCAR file:
```
Pr2Y2Er
1.0
8.000 -3.167 0.000
8.000 3.167 0.000
-1.657 0.000 6.662
Pr Y Er
4 4 2
Direct
0.018 0.182 0.444
0.182 0.018 0.944
0.818 0.982 0.056
0.982 0.818 0.556
0.221 0.381 0.848
0.381 0.221 0.348
0.619 0.779 0.652
0.779 0.619 0.152
0.416 0.584 0.250
0.584 0.416 0.750
```


Q.
The following is a PBE calculation of Pr2Y2Er after structural relaxation, from Alexandria via LeMat-Bulk.

POSCAR file:
```
Pr2Y2Er
1.0
-1.842 2.892 15.927
1.842 -2.892 15.927
1.842 2.892 -15.927
Pr Y Er
4 4 2
Direct
0.272 0.022 0.250
0.371 0.121 0.250
0.629 0.879 0.750
0.728 0.978 0.750
0.054 0.804 0.250
0.459 0.709 0.750
0.541 0.291 0.250
0.946 0.196 0.750
0.169 0.419 0.750
0.831 0.581 0.250
```


Which of them is the most stable? Correct choice: P.


P.
The following is a PBE calculation of PrYEr5 after structural relaxation, from Alexandria via LeMat-Bulk.

POSCAR file:
```
PrYEr5
1.0
5.769 0.000 0.000
0.000 8.618 0.000
0.000 0.000 11.796
Pr Y Er
2 2 10
Direct
0.000 0.000 0.000
0.500 0.500 0.500
0.000 0.000 0.500
0.500 0.500 0.000
0.000 0.000 0.253
0.000 0.000 0.747
0.000 0.321 0.500
0.000 0.500 0.000
0.000 0.679 0.500
0.500 0.000 0.500
0.500 0.179 0.000
0.500 0.500 0.247
0.500 0.500 0.753
0.500 0.821 0.000
```


Q.
The following is a PBE calculation of PrYEr5 after structural relaxation, from Alexandria via LeMat-Bulk.

POSCAR file:
```
PrYEr5
1.0
5.803 -3.405 0.000
5.803 3.405 0.000
-4.014 0.000 11.461
Pr Y Er
2 2 10
Direct
0.000 0.500 0.000
0.500 0.000 0.500
0.029 0.971 0.750
0.971 0.029 0.250
0.137 0.418 0.747
0.201 0.643 0.501
0.357 0.799 0.999
0.416 0.584 0.250
0.418 0.137 0.247
0.582 0.863 0.753
0.584 0.416 0.750
0.643 0.201 0.001
0.799 0.357 0.499
0.863 0.582 0.253
```


Which of them is the most stable? Correct choice: Q.